(1)
Density functional theory data (GGA-PBEsol) for an optimized crystal structure of FeMo6Rh3N2.

Results
Total magnetic moment ... 2.704 μB per formula unit
Theoretical density ... 10.61 Mg/m³
DFT total energy ... -10.428 eV/atom

CIF file:
```
data_FeMo6Rh3N2
_chemical_formula_sum 'Fe2 Mo12 Rh6 N4'
_cell_length_a 6.709
_cell_length_b 6.720
_cell_length_c 6.720
_cell_angle_alpha 90.00
_cell_angle_beta 90.42
_cell_angle_gamma 90.00
_symmetry_space_group_name_H-M 'P 1 21 1'
_symmetry_Int_Tables_number 4
loop_
_symmetry_equiv_pos_as_xyz
'x,y,z'
'-x,y+1/2,-z'
loop_
_atom_site_label
_atom_site_fract_x
_atom_site_fract_y
_atom_site_fract_z
Fe1 0.181 0.000 0.064
Mo1 0.048 0.939 0.453
Mo2 0.122 0.614 0.204
Mo3 0.204 0.362 0.874
Mo4 0.299 0.270 0.374
Mo5 0.374 0.018 0.703
Mo6 0.458 0.689 0.950
Rh1 0.061 0.751 0.821
Rh2 0.312 0.628 0.564
Rh3 0.431 0.879 0.303
N1 0.126 0.190 0.622
N2 0.374 0.442 0.126
```

***

(2)
Density functional theory data (GGA-PBEsol) for an optimized crystal structure of SrWCl3.

Results
Total magnetic moment ... 0.835 μB per formula unit
Theoretical density ... 5.60 Mg/m³
DFT total energy ... -4.758 eV/atom

CIF file:
```
data_SrWCl3
_chemical_formula_sum 'Sr1 W1 Cl3'
_cell_length_a 4.820
_cell_length_b 4.820
_cell_length_c 4.820
_cell_angle_alpha 90.00
_cell_angle_beta 90.00
_cell_angle_gamma 90.00
_symmetry_space_group_name_H-M 'P m -3 m'
_symmetry_Int_Tables_number 221
_symmetry_space_group_name_Hall '-P 4 2 3'
loop_
_atom_site_label
_atom_site_fract_x
_atom_site_fract_y
_atom_site_fract_z
Sr1 0.000 0.000 0.000
W1 0.500 0.500 0.500
Cl1 0.000 0.500 0.500
```

***

(3)
Density functional theory data (GGA-PBEsol) for an optimized crystal structure of AlTc2Te.

Results
Total magnetic moment ... 0.000 μB per formula unit
Theoretical density ... 9.61 Mg/m³
DFT total energy ... -7.553 eV/atom

CIF file:
```
data_AlTc2Te
_chemical_formula_sum 'Al4 Tc8 Te4'
_cell_length_a 6.235
_cell_length_b 6.235
_cell_length_c 6.235
_cell_angle_alpha 90.00
_cell_angle_beta 90.00
_cell_angle_gamma 90.00
_symmetry_space_group_name_H-M 'F m -3 m'
_symmetry_Int_Tables_number 225
_symmetry_space_group_name_Hall '-F 4 2 3'
loop_
_atom_site_label
_atom_site_fract_x
_atom_site_fract_y
_atom_site_fract_z
Al1 0.000 0.000 0.000
Tc1 0.250 0.250 0.250
Te1 0.000 0.000 0.500
```

***

(4)
Density functional theory data (GGA-PBEsol) for an optimized crystal structure of BaTe2C.

Results
Total magnetic moment ... 0.000 μB per formula unit
Theoretical density ... 6.07 Mg/m³
DFT total energy ... -4.086 eV/atom

CIF file:
```
data_BaTe2C
_chemical_formula_sum 'Ba3 Te6 C3'
_cell_length_a 4.1085
_cell_length_b 4.1085
_cell_length_c 22.7221
_cell_angle_alpha 90.00
_cell_angle_beta 90.00
_cell_angle_gamma 120.00
_symmetry_space_group_name_H-M 'R -3 m'
_symmetry_Int_Tables_number 166
_symmetry_space_group_name_Hall '-R 3 2"'
loop_
_atom_site_label
_atom_site_fract_x
_atom_site_fract_y
_atom_site_fract_z
Ba1 0.0000 0.0000 0.0000
Te1 0.0000 0.0000 0.2246
C1 0.0000 0.0000 0.5000
```

***

(5)
Density functional theory data (GGA-PBEsol) for an optimized crystal structure of Rb2ZnSb.

Results
Total magnetic moment ... 0.000 μB per formula unit
Theoretical density ... 4.08 Mg/m³
DFT total energy ... -1.767 eV/atom

CIF file:
```
data_Rb2ZnSb
_chemical_formula_sum 'Rb8 Zn4 Sb4'
_cell_length_a 4.977
_cell_length_b 4.977
_cell_length_c 23.551
_cell_angle_alpha 90.00
_cell_angle_beta 90.00
_cell_angle_gamma 90.00
_symmetry_space_group_name_H-M 'I -4 2 d'
_symmetry_Int_Tables_number 122
_symmetry_space_group_name_Hall 'I -4 2bw'
loop_
_atom_site_label
_atom_site_fract_x
_atom_site_fract_y
_atom_site_fract_z
Rb1 0.233 0.250 0.125
Zn1 0.000 0.000 0.000
Sb1 0.000 0.000 0.500
```

***

(6)
Density functional theory data (GGA-PBEsol) for an optimized crystal structure of GaW3Br.

Results
Total magnetic moment ... 0.000 μB per formula unit
Theoretical density ... 12.38 Mg/m³
DFT total energy ... -7.151 eV/atom

CIF file:
```
data_GaW3Br
_chemical_formula_sum 'Ga1 W3 Br1'
_cell_length_a 4.547
_cell_length_b 4.547
_cell_length_c 4.547
_cell_angle_alpha 90.00
_cell_angle_beta 90.00
_cell_angle_gamma 90.00
_symmetry_space_group_name_H-M 'P m -3 m'
_symmetry_Int_Tables_number 221
_symmetry_space_group_name_Hall '-P 4 2 3'
loop_
_atom_site_label
_atom_site_fract_x
_atom_site_fract_y
_atom_site_fract_z
Ga1 0.000 0.000 0.000
W1 0.000 0.500 0.500
Br1 0.500 0.500 0.500
```

***

(7)
Density functional theory data (GGA-PBEsol) for an optimized crystal structure of Mn8Si8Mo3.

Results
Total magnetic moment ... 6.848 μB per formula unit
Theoretical density ... 7.02 Mg/m³
DFT total energy ... -8.856 eV/atom

CIF file:
```
data_Mn8Si8Mo3
_chemical_formula_sum 'Mn32 Si32 Mo12'
_cell_length_a 12.575
_cell_length_b 4.762
_cell_length_c 15.042
_cell_angle_alpha 90.00
_cell_angle_beta 90.00
_cell_angle_gamma 90.00
_symmetry_space_group_name_H-M 'P n m a'
_symmetry_Int_Tables_number 62
loop_
_symmetry_equiv_pos_as_xyz
'x,y,z'
'-x,-y,-z'
'-x+1/2,-y,z+1/2'
'x+1/2,y,-z+1/2'
'x+1/2,-y+1/2,-z+1/2'
'-x+1/2,y+1/2,z+1/2'
'-x,y+1/2,-z'
'x,-y+1/2,z'
loop_
_atom_site_label
_atom_site_fract_x
_atom_site_fract_y
_atom_site_fract_z
Mn1 0.047 0.250 0.095
Mn2 0.060 0.506 0.378
Mn3 0.122 0.750 0.995
Mn4 0.133 0.517 0.828
Mn5 0.136 0.750 0.657
Mn6 0.190 0.250 0.249
Si1 0.007 0.250 0.248
Si2 0.050 0.250 0.941
Si3 0.052 0.750 0.518
Si4 0.091 0.250 0.700
Si5 0.210 0.750 0.305
Si6 0.213 0.501 0.119
Si7 0.225 0.250 0.398
Mo1 0.065 0.750 0.196
Mo2 0.135 0.250 0.543
Mo3 0.249 0.750 0.472
```

***

(8)
Density functional theory data (GGA-PBEsol) for an optimized crystal structure of HfTa3Si.

Results
Total magnetic moment ... 0.000 μB per formula unit
Theoretical density ... 11.22 Mg/m³
DFT total energy ... -8.683 eV/atom

CIF file:
```
data_HfTa3Si
_chemical_formula_sum 'Hf1 Ta3 Si1'
_cell_length_a 4.805
_cell_length_b 4.805
_cell_length_c 4.805
_cell_angle_alpha 90.00
_cell_angle_beta 90.00
_cell_angle_gamma 90.00
_symmetry_space_group_name_H-M 'P m -3 m'
_symmetry_Int_Tables_number 221
_symmetry_space_group_name_Hall '-P 4 2 3'
loop_
_atom_site_label
_atom_site_fract_x
_atom_site_fract_y
_atom_site_fract_z
Hf1 0.000 0.000 0.000
Ta1 0.000 0.000 0.500
Si1 0.500 0.500 0.500
```

***

(9)
Density functional theory data (GGA-PBEsol) for an optimized crystal structure of Li2Cu2F5.

Results
Total magnetic moment ... 1.021 μB per formula unit
Theoretical density ... 4.17 Mg/m³
DFT total energy ... -4.495 eV/atom

CIF file:
```
data_Li2Cu2F5
_chemical_formula_sum 'Li4 Cu4 F10'
_cell_length_a 6.887
_cell_length_b 2.943
_cell_length_c 9.278
_cell_angle_alpha 90.00
_cell_angle_beta 92.01
_cell_angle_gamma 90.00
_symmetry_space_group_name_H-M 'P 1 21/m 1'
_symmetry_Int_Tables_number 11
loop_
_symmetry_equiv_pos_as_xyz
'x,y,z'
'-x,-y,-z'
'-x,y+1/2,-z'
'x,-y+1/2,z'
loop_
_atom_site_label
_atom_site_fract_x
_atom_site_fract_y
_atom_site_fract_z
Li1 0.092 0.250 0.121
Li2 0.349 0.750 0.331
Cu1 0.117 0.250 0.592
Cu2 0.403 0.750 0.902
F1 0.064 0.750 0.269
F2 0.162 0.750 0.983
F3 0.305 0.250 0.460
F4 0.327 0.250 0.750
F5 0.362 0.250 0.184
```

***

(10)
Density functional theory data (GGA-PBEsol) for an optimized crystal structure of ScRe2Br.

Results
Total magnetic moment ... 0.000 μB per formula unit
Theoretical density ... 12.51 Mg/m³
DFT total energy ... -8.038 eV/atom

CIF file:
```
data_ScRe2Br
_chemical_formula_sum 'Sc2 Re4 Br2'
_cell_length_a 4.338
_cell_length_b 4.338
_cell_length_c 7.015
_cell_angle_alpha 90.00
_cell_angle_beta 90.00
_cell_angle_gamma 90.00
_symmetry_space_group_name_H-M 'I -4 m 2'
_symmetry_Int_Tables_number 119
_symmetry_space_group_name_Hall 'I -4 -2'
loop_
_atom_site_label
_atom_site_fract_x
_atom_site_fract_y
_atom_site_fract_z
Sc1 0.000 0.000 0.000
Re1 0.000 0.000 0.500
Re2 0.000 0.500 0.750
Br1 0.000 0.500 0.250
```

***

(11)
Density functional theory data (GGA-PBEsol) for an optimized crystal structure of BAsCSe2.

Results
Total magnetic moment ... 0.000 μB per formula unit
Theoretical density ... 5.38 Mg/m³
DFT total energy ... -4.172 eV/atom

CIF file:
```
data_BAsCSe2
_chemical_formula_sum 'B1 As1 C1 Se2'
_cell_length_a 4.383
_cell_length_b 4.383
_cell_length_c 4.104
_cell_angle_alpha 90.00
_cell_angle_beta 90.00
_cell_angle_gamma 90.00
_symmetry_space_group_name_H-M 'P 4/m m m'
_symmetry_Int_Tables_number 123
_symmetry_space_group_name_Hall '-P 4 2'
loop_
_atom_site_label
_atom_site_fract_x
_atom_site_fract_y
_atom_site_fract_z
B1 0.000 0.000 0.000
As1 0.500 0.500 0.000
C1 0.500 0.500 0.500
Se1 0.000 0.500 0.500
```

***

(12)
Density functional theory data (GGA-PBEsol) for an optimized crystal structure of AlTeSe2Br.

Results
Total magnetic moment ... 0.000 μB per formula unit
Theoretical density ... 5.58 Mg/m³
DFT total energy ... -3.502 eV/atom

CIF file:
```
data_AlTeSe2Br
_chemical_formula_sum 'Al1 Te1 Se2 Br1'
_cell_length_a 4.958
_cell_length_b 4.958
_cell_length_c 4.750
_cell_angle_alpha 90.00
_cell_angle_beta 90.00
_cell_angle_gamma 90.00
_symmetry_space_group_name_H-M 'P 4/m m m'
_symmetry_Int_Tables_number 123
_symmetry_space_group_name_Hall '-P 4 2'
loop_
_atom_site_label
_atom_site_fract_x
_atom_site_fract_y
_atom_site_fract_z
Al1 0.000 0.000 0.000
Te1 0.500 0.500 0.500
Se1 0.000 0.500 0.000
Br1 0.000 0.000 0.500
```